Record 1
## Pu2SiAsPt6 (PBE)

Data for crystalline Pu2SiAsPt6 at its relaxed geometry.

Geometry as CIF:
```
data_Pu2SiAsPt6
_space_group_name_H-M_alt 'P 1'
_space_group_IT_number 1
_cell_length_a 5.538
_cell_length_b 8.344
_cell_length_c 8.555
_cell_angle_alpha 90.00
_cell_angle_beta 90.00
_cell_angle_gamma 90.00
loop_
_space_group_symop_operation_xyz
'x,y,z'
loop_
_atom_site_label
_atom_site_fract_x
_atom_site_fract_y
_atom_site_fract_z
Pu1 0.250 0.001 0.234
Pu2 0.250 0.499 0.234
Pu3 0.750 0.501 0.766
Pu4 0.750 0.999 0.766
Si1 0.250 0.750 0.757
Si2 0.750 0.250 0.243
As1 0.250 0.250 0.780
As2 0.750 0.750 0.220
Pt1 0.003 0.250 0.483
Pt2 0.003 0.750 0.983
Pt3 0.250 0.006 0.621
Pt4 0.250 0.494 0.621
Pt5 0.497 0.250 0.483
Pt6 0.497 0.750 0.983
Pt7 0.503 0.250 0.017
Pt8 0.503 0.750 0.517
Pt9 0.750 0.506 0.379
Pt10 0.750 0.994 0.379
Pt11 0.997 0.250 0.017
Pt12 0.997 0.750 0.517
```

---

Record 2
## Pu2Si3AsPt4 (PBE)

Data for crystalline Pu2Si3AsPt4 at its relaxed geometry.

Geometry as CIF:
```
data_Pu2Si3AsPt4
_space_group_name_H-M_alt 'P 1'
_space_group_IT_number 1
_cell_length_a 4.330
_cell_length_b 4.330
_cell_length_c 9.690
_cell_angle_alpha 90.00
_cell_angle_beta 90.00
_cell_angle_gamma 90.00
loop_
_space_group_symop_operation_xyz
'x,y,z'
loop_
_atom_site_label
_atom_site_fract_x
_atom_site_fract_y
_atom_site_fract_z
Pu1 0.000 0.500 0.245
Pu2 0.500 0.000 0.755
Si1 0.000 0.000 0.000
Si2 0.000 0.500 0.627
Si3 0.500 0.000 0.373
As1 0.500 0.500 0.000
Pt1 0.000 0.000 0.500
Pt2 0.000 0.500 0.872
Pt3 0.500 0.000 0.128
Pt4 0.500 0.500 0.500
```

---

Record 3
# PBE Sr2PuAs3Pt4, optimized geometry
# Formation energy = -0.7693 eV/atom
data_Sr2PuAs3Pt4
_space_group_name_H-M_alt 'P 1'
_space_group_IT_number 1
_cell_length_a 4.360
_cell_length_b 4.360
_cell_length_c 11.454
_cell_angle_alpha 90.00
_cell_angle_beta 90.00
_cell_angle_gamma 90.00
loop_
_space_group_symop_operation_xyz
'x,y,z'
loop_
_atom_site_label
_atom_site_fract_x
_atom_site_fract_y
_atom_site_fract_z
Sr1 0.000 0.500 0.227
Sr2 0.500 0.000 0.773
Pu1 0.000 0.000 0.500
As1 0.000 0.500 0.880
As2 0.500 0.000 0.120
As3 0.500 0.500 0.500
Pt1 0.000 0.000 0.000
Pt2 0.000 0.500 0.663
Pt3 0.500 0.000 0.337
Pt4 0.500 0.500 0.000

---

Record 4
# PBE SrPuAs2Pt4, optimized geometry
# Formation energy = -0.6133 eV/atom
data_SrPuAs2Pt4
_space_group_name_H-M_alt 'P 1'
_space_group_IT_number 1
_cell_length_a 4.087
_cell_length_b 4.087
_cell_length_c 10.378
_cell_angle_alpha 90.00
_cell_angle_beta 90.00
_cell_angle_gamma 90.00
loop_
_space_group_symop_operation_xyz
'x,y,z'
loop_
_atom_site_label
_atom_site_fract_x
_atom_site_fract_y
_atom_site_fract_z
Sr1 0.000 0.000 0.000
Pu1 0.000 0.000 0.500
As1 0.500 0.500 0.155
As2 0.500 0.500 0.845
Pt1 0.000 0.500 0.294
Pt2 0.000 0.500 0.706
Pt3 0.500 0.000 0.294
Pt4 0.500 0.000 0.706

---

Record 5
# PBE RbAs2Pt3, optimized geometry
# Formation energy = -0.4101 eV/atom
data_RbAs2Pt3
_space_group_name_H-M_alt 'P 1'
_space_group_IT_number 1
_cell_length_a 7.757
_cell_length_b 7.757
_cell_length_c 9.421
_cell_angle_alpha 109.66
_cell_angle_beta 109.66
_cell_angle_gamma 30.20
loop_
_space_group_symop_operation_xyz
'x,y,z'
loop_
_atom_site_label
_atom_site_fract_x
_atom_site_fract_y
_atom_site_fract_z
Rb1 0.137 0.137 0.044
Rb2 0.863 0.863 0.956
As1 0.196 0.196 0.710
As2 0.472 0.472 0.761
As3 0.528 0.528 0.239
As4 0.804 0.804 0.290
Pt1 0.056 0.056 0.402
Pt2 0.307 0.307 0.568
Pt3 0.404 0.404 0.360
Pt4 0.596 0.596 0.640
Pt5 0.693 0.693 0.432
Pt6 0.944 0.944 0.598

---

Record 6
# PBE Rb3AsPt, optimized geometry
# Formation energy = -0.1898 eV/atom
# Relative energy among the computed polymorphs = 0.025 eV per atom
data_Rb3AsPt
_space_group_name_H-M_alt 'P 1'
_space_group_IT_number 1
_cell_length_a 6.891
_cell_length_b 9.960
_cell_length_c 11.189
_cell_angle_alpha 90.00
_cell_angle_beta 90.97
_cell_angle_gamma 90.00
loop_
_space_group_symop_operation_xyz
'x,y,z'
loop_
_atom_site_label
_atom_site_fract_x
_atom_site_fract_y
_atom_site_fract_z
Rb1 0.231 0.195 0.377
Rb2 0.231 0.305 0.877
Rb3 0.262 0.552 0.601
Rb4 0.262 0.948 0.101
Rb5 0.265 0.538 0.153
Rb6 0.265 0.962 0.653
Rb7 0.735 0.038 0.347
Rb8 0.735 0.462 0.847
Rb9 0.738 0.052 0.899
Rb10 0.738 0.448 0.399
Rb11 0.769 0.695 0.123
Rb12 0.769 0.805 0.623
As1 0.108 0.700 0.876
As2 0.108 0.800 0.376
As3 0.892 0.200 0.624
As4 0.892 0.300 0.124
Pt1 0.441 0.746 0.873
Pt2 0.441 0.754 0.373
Pt3 0.559 0.246 0.627
Pt4 0.559 0.254 0.127

---

Summary of raw total energy in eV per atom
-8.197, -8.185, -6.350, -6.798, -5.142, -2.908
(order as listed above)